(1)
This record from the Alexandria database describes a relaxed La2PrCd crystal. The functional is GGA-PBE.

a b c (Å): 3.8214 3.8214 9.2055
angles (deg): 90.00 90.00 90.00
Fractional positions:
La (0.0000, 0.0000, 0.2240)
La (0.0000, 0.0000, 0.7760)
Pr (0.5000, 0.5000, 0.5000)
Cd (0.5000, 0.5000, 0.0000)

Summary:
ΔH_f (0 K) in eV per atom: -0.158


(2)
This record from the Alexandria database describes a relaxed La14PrCd crystal. The functional is GGA-PBE.

a b c (Å): 7.3445 7.3445 10.4843
angles (deg): 90.00 90.00 90.11
Fractional positions:
La (0.0000, 0.0000, 0.0000)
La (0.0000, 0.5000, 0.0000)
La (0.0000, 0.5000, 0.5000)
La (0.2441, 0.2441, 0.2549)
La (0.2441, 0.2441, 0.7451)
La (0.2446, 0.7554, 0.2552)
La (0.2446, 0.7554, 0.7448)
La (0.5000, 0.0000, 0.0000)
La (0.5000, 0.0000, 0.5000)
La (0.5000, 0.5000, 0.0000)
La (0.7554, 0.2446, 0.2552)
La (0.7554, 0.2446, 0.7448)
La (0.7559, 0.7559, 0.2549)
La (0.7559, 0.7559, 0.7451)
Pr (0.5000, 0.5000, 0.5000)
Cd (0.0000, 0.0000, 0.5000)

Summary:
ΔH_f (0 K) in eV per atom: -0.035


(3)
This record from the Alexandria database describes a relaxed LaPr4Cd3 crystal. The functional is GGA-PBE.

a b c (Å): 9.8724 9.8724 9.8724
angles (deg): 32.53 32.53 32.53
Fractional positions:
La (0.0000, 0.0000, 0.0000)
Pr (0.1309, 0.1309, 0.1309)
Pr (0.3849, 0.3849, 0.3849)
Pr (0.6151, 0.6151, 0.6151)
Pr (0.8691, 0.8691, 0.8691)
Cd (0.2577, 0.2577, 0.2577)
Cd (0.5000, 0.5000, 0.5000)
Cd (0.7423, 0.7423, 0.7423)

Summary:
ΔH_f (0 K) in eV per atom: -0.175